# 1
# La2PrSmS4 (GGA-PBE, relaxed)
data_La2PrSmS4
_symmetry_space_group_name_H-M 'P 1 2/m 1'
_symmetry_Int_Tables_number 10
_cell_length_a 7.122
_cell_length_b 4.086
_cell_length_c 7.132
_cell_angle_alpha 90.00
_cell_angle_beta 109.31
_cell_angle_gamma 90.00
loop_
_symmetry_equiv_pos_as_xyz
'x,y,z'
'-x,-y,-z'
'-x,y,-z'
'x,-y,z'
loop_
_atom_site_label
_atom_site_fract_x
_atom_site_fract_y
_atom_site_fract_z
La1 0.000 0.000 0.000
La2 0.000 0.500 0.500
Pr1 0.500 0.000 0.500
Sm1 0.500 0.500 0.000
S1 0.255 0.500 0.248
S2 0.258 0.000 0.757
# uncorrected energy = -52.64 eV/cell
# volume = 195.9 Å³ per cell
# formation energy from raw total energies = -2098 meV per atom


# 2
# LaPr2Sm3S6 (GGA-PBE, relaxed)
data_LaPr2Sm3S6
_symmetry_space_group_name_H-M 'C 1 2/m 1'
_symmetry_Int_Tables_number 12
_cell_length_a 7.020
_cell_length_b 12.198
_cell_length_c 7.057
_cell_angle_alpha 90.00
_cell_angle_beta 109.43
_cell_angle_gamma 90.00
loop_
_symmetry_equiv_pos_as_xyz
'x,y,z'
'-x,-y,-z'
'-x,y,-z'
'x,-y,z'
'x+1/2,y+1/2,z'
'-x+1/2,-y+1/2,-z'
'-x+1/2,y+1/2,-z'
'x+1/2,-y+1/2,z'
loop_
_atom_site_label
_atom_site_fract_x
_atom_site_fract_y
_atom_site_fract_z
La1 0.000 0.000 0.000
Pr1 0.000 0.333 0.000
Sm1 0.000 0.167 0.500
Sm2 0.000 0.500 0.500
S1 0.247 0.000 0.741
S2 0.247 0.333 0.741
# uncorrected energy = -156.09 eV/cell
# volume = 569.9 Å³ per cell
# formation energy from raw total energies = -2053 meV per atom


# 3
# La3Pr4SmS8 (GGA-PBE, relaxed)
data_La3Pr4SmS8
_symmetry_space_group_name_H-M 'R -3 m'
_symmetry_Int_Tables_number 166
_symmetry_space_group_name_Hall '-R 3 2"'
_cell_length_a 8.2327
_cell_length_b 8.2327
_cell_length_c 20.1240
_cell_angle_alpha 90.00
_cell_angle_beta 90.00
_cell_angle_gamma 120.00
loop_
_atom_site_label
_atom_site_fract_x
_atom_site_fract_y
_atom_site_fract_z
La1 0.0000 0.5000 0.0000
Pr1 0.0000 0.0000 0.5000
Pr2 0.0000 0.5000 0.5000
Sm1 0.0000 0.0000 0.0000
S1 0.0000 0.0000 0.2495
S2 0.0049 0.5024 0.7492
# uncorrected energy = -314.61 eV/cell
# volume = 1181.2 Å³ per cell
# formation energy from raw total energies = -2077 meV per atom


> Which of these has the lowest formation energy from raw total energies?

La2PrSmS4


> volume of number 1 (La2PrSmS4)?

195.9 Å³ per cell


> Which of these has the lowest volume?

La2PrSmS4


> What is the formation energy from raw total energies in the third record?

-2077 meV per atom